DFT (GGA-PBE) results for a relaxed structure of CeTiRe4.

```
6
Lattice="5.3474 0.0000 0.0000 2.6737 4.6309 0.0000 2.6737 1.5436 4.3661" Properties=species:S:1:pos:R:3 pbc="T T T"
Re 5.3474 3.0873 0.5386
Re 5.3474 1.5369 2.7312
Re 6.6900 3.8625 2.7312
Re 4.0047 3.8625 2.7312
Ce 2.6737 1.5436 1.0915
Ti 0.0000 0.0000 0.0000
```

Calculated values
The energy of formation from the pure elements comes out at 0.0072 eV/atom. As for the total magnetic moment: 0.00 μB/atom. The density of states at the Fermi level is 2.00 states/eV per atom. As for the crystal system: cubic. As for the symmetry: F-43m (216).


DFT (GGA-PBE) results for a relaxed structure of CeTi2Re.

```
4
Lattice="-2.5327 1.7467 -0.5894 -1.6771 -1.7676 1.9687 1.8994 4.7346 5.8689" Properties=species:S:1:pos:R:3 pbc="T T T"
Re -2.1049 -0.0104 0.6897
Ce -1.1553 2.3569 3.6241
Ti 1.5387 3.8355 4.7544
Ti 0.3607 0.8991 1.1145
```

Calculated values
The energy of formation from the pure elements comes out at -0.1343 eV/atom. As for the total magnetic moment: 0.00 μB/atom. The density of states at the Fermi level is 1.28 states/eV per atom. As for the crystal system: tetragonal. As for the symmetry: P4/mmm (123).


DFT (GGA-PBE) results for a relaxed structure of CeTlRe.

```
6
Lattice="-3.4958 -2.1561 -0.5423 -1.5076 -5.6021 0.9917 0.2967 5.7048 7.8822" Properties=species:S:1:pos:R:3 pbc="T T T"
Tl -2.2900 -1.0993 2.3878
Tl -2.7215 -4.1973 1.4355
Ce -3.5340 -3.5073 4.7176
Ce -1.1810 3.9150 6.9885
Re -3.1476 -0.3093 5.0615
Re -1.5673 0.7170 6.6446
```

Calculated values
The energy of formation from the pure elements comes out at 0.0370 eV/atom. As for the total magnetic moment: 0.05 μB/atom. The density of states at the Fermi level is 1.43 states/eV per atom. As for the crystal system: triclinic. As for the symmetry: P-1 (2).


Look up the total magnetic moment of the third one.
0.05 μB/atom


What is the formula in the third record?
CeTlRe